# 1
Computed, not measured: a relaxed NdAsN2O crystal at the PBE-GGA level of DFT.

Structure (POSCAR):
```
NdAsN2O
1.0
-2.818 -0.705 2.478
1.901 -3.160 1.264
1.780 2.122 2.628
N As O Nd
2 1 1 1
Cartesian
0.873 1.041 1.290
0.354 1.753 3.849
-0.530 0.694 2.534
0.413 -0.891 3.163
-0.097 -0.176 5.719
```

Results
E_tot   -34.43 eV for the cell shown
SG   Amm2, No. 38

---

# 2
Computed, not measured: a relaxed La3In3Ag2Pt crystal at the PBE-GGA level of DFT.

Structure (POSCAR):
```
La3In3Ag2Pt
1.0
-2.406 1.180 -7.335
-4.731 -3.476 5.150
-1.602 3.885 1.151
In La Pt Ag
3 3 1 2
Cartesian
-1.821 0.893 -5.552
-1.735 -0.558 -0.531
-3.581 -2.631 3.898
-5.058 0.573 -0.728
-2.710 0.540 2.654
-1.772 2.419 -2.385
-0.801 1.942 0.575
-3.181 -0.372 -3.174
-3.956 -1.924 0.988
```

Results
E_tot   -40.15 eV for the cell shown
SG   P-62m, No. 189

---

# 3
Computed, not measured: a relaxed AcPrPa crystal at the PBE-GGA level of DFT.

Structure (POSCAR):
```
AcPrPa
1.0
-0.684 -3.321 4.282
-4.084 0.885 3.517
-4.260 -3.415 0.154
Pa Ac Pr
1 1 1
Cartesian
-6.771 -4.388 5.965
-2.257 -1.463 1.988
0.000 0.000 0.000
```

Results
Formation energy from the elements   1.093 eV per atom
E_tot   -15.10 eV for the cell shown
SG   F-43m, No. 216

---

# 4
Computed, not measured: a relaxed Sm2DyBi3 crystal at the PBE-GGA level of DFT.

Structure (POSCAR):
```
Sm2DyBi3
1.0
-2.485 -1.854 3.261
3.614 -2.165 -1.581
6.288 4.944 7.603
Sm Bi Dy
2 3 1
Cartesian
0.607 -1.125 2.928
6.810 2.049 6.355
3.714 1.318 6.684
3.703 -0.393 2.599
0.000 0.000 0.000
3.144 2.472 3.802
```

Results
E_tot   -31.68 eV for the cell shown
SG   P-3m1, No. 164

---

# 5
Computed, not measured: a relaxed HoW crystal at the PBE-GGA level of DFT.

Structure (POSCAR):
```
HoW
1.0
-2.600 -1.210 -3.580
-3.728 2.454 -1.060
-0.040 2.591 -3.785
Ho W
1 1
Cartesian
0.000 0.000 0.000
-1.592 0.959 -2.106
```

Results
Formation energy from the elements   2.934 eV per atom
E_tot   -11.67 eV for the cell shown
SG   F-43m, No. 216

---

# 6
Computed, not measured: a relaxed YZrBeCo crystal at the PBE-GGA level of DFT.

Structure (POSCAR):
```
YZrBeCo
1.0
0.000 3.273 3.273
3.273 0.000 3.273
3.273 3.273 0.000
Y Co Zr Be
1 1 1 1
Cartesian
3.273 3.273 3.273
1.636 1.636 1.636
0.000 0.000 0.000
4.909 4.909 4.909
```

Results
E_tot   -25.93 eV for the cell shown
SG   F-43m, No. 216

---

# 7
Computed, not measured: a relaxed LuCoIrPb crystal at the PBE-GGA level of DFT.

Structure (POSCAR):
```
LuCoIrPb
1.0
0.000 3.341 3.341
3.341 0.000 3.341
3.341 3.341 0.000
Co Ir Pb Lu
1 1 1 1
Cartesian
5.011 5.011 5.011
3.341 3.341 3.341
0.000 0.000 0.000
1.670 1.670 1.670
```

Results
E_tot   -23.63 eV for the cell shown
SG   F-43m, No. 216

---

# 8
Computed, not measured: a relaxed NaFeAgSeS2 crystal at the PBE-GGA level of DFT.

Structure (POSCAR):
```
NaFeAgSeS2
1.0
1.689 -7.013 0.000
1.689 7.013 0.000
0.000 0.000 10.015
Na Se Fe S Ag
2 2 2 4 2
Cartesian
1.689 3.418 7.511
1.689 -3.418 2.504
1.689 1.172 2.504
1.689 -1.172 7.511
1.689 0.000 5.008
1.689 0.000 0.000
1.689 5.427 0.193
1.689 -5.427 5.201
1.689 -5.427 9.822
1.689 5.427 4.815
1.689 -6.088 7.511
1.689 6.088 2.504
```

Results
E_tot   -51.41 eV for the cell shown
SG   Cmcm, No. 63

---

# 9
Computed, not measured: a relaxed Na6P2Pt crystal at the PBE-GGA level of DFT.

Structure (POSCAR):
```
Na6P2Pt
1.0
2.480 1.432 9.087
-2.480 1.432 9.087
0.000 -2.864 9.087
Na P Pt
6 2 1
Cartesian
0.000 0.000 5.212
0.000 0.000 11.398
0.000 0.000 22.048
0.000 0.000 19.081
0.000 0.000 15.863
0.000 0.000 8.179
0.000 0.000 2.381
0.000 0.000 24.879
0.000 0.000 0.000
```

Results
E_tot   -28.28 eV for the cell shown
SG   R-3m, No. 166

---

# 10
Computed, not measured: a relaxed NaFe crystal at the PBE-GGA level of DFT.

Structure (POSCAR):
```
NaFe
1.0
0.000 2.844 2.844
2.844 0.000 2.844
2.844 2.844 0.000
Fe Na
1 1
Cartesian
0.000 0.000 0.000
2.844 2.844 2.844
```

Results
E_tot   -6.51 eV for the cell shown
SG   Fm-3m, No. 225

---

# 11
Computed, not measured: a relaxed BaFeGe crystal at the PBE-GGA level of DFT.

Structure (POSCAR):
```
BaFeGe
1.0
0.000 3.420 3.420
3.420 0.000 3.420
3.420 3.420 0.000
Fe Ge Ba
1 1 1
Cartesian
0.000 0.000 0.000
5.130 5.130 5.130
1.710 1.710 1.710
```

Results
E_tot   -13.49 eV for the cell shown
SG   F-43m, No. 216

---

# 12
Computed, not measured: a relaxed Tb3InPd3Pb2 crystal at the PBE-GGA level of DFT.

Structure (POSCAR):
```
Tb3InPd3Pb2
1.0
-3.429 -1.746 0.006
3.085 -6.073 -3.914
-0.035 0.098 7.855
Pd Tb Pb In
3 3 2 1
Cartesian
2.027 -3.981 0.021
-1.702 -0.898 0.020
1.001 -1.951 3.892
-0.471 -3.321 -1.533
0.090 -4.409 2.336
-1.712 -0.866 3.150
-0.021 0.062 5.774
2.270 -4.469 -2.867
0.808 -1.583 1.044
```

Results
E_tot   -46.46 eV for the cell shown
SG   Amm2, No. 38

---

# 13
Computed, not measured: a relaxed Au crystal at the PBE-GGA level of DFT.

Structure (POSCAR):
```
Au
1.0
0.000 -2.883 0.000
-2.883 0.000 0.000
1.442 1.442 -2.133
Au
1
Cartesian
0.000 0.000 0.000
```

Results
Formation energy from the elements   0.002 eV per atom
E_tot   -3.26 eV for the cell shown
SG   I4/mmm, No. 139

---

# 14
Computed, not measured: a relaxed LaPr2Co2N6 crystal at the PBE-GGA level of DFT.

Structure (POSCAR):
```
LaPr2Co2N6
1.0
-1.886 1.886 9.995
1.886 -1.886 9.995
1.886 1.886 -9.995
N Co Pr La
6 2 2 1
Cartesian
0.000 1.886 8.263
0.000 0.000 13.933
0.000 0.000 6.057
1.886 0.000 8.263
0.000 1.886 1.733
1.886 0.000 1.733
0.000 0.000 12.079
0.000 0.000 7.912
0.000 0.000 16.365
0.000 0.000 3.625
0.000 0.000 0.000
```

Results
E_tot   -84.53 eV for the cell shown
SG   I4/mmm, No. 139

---

# 15
Computed, not measured: a relaxed HfNbAg crystal at the PBE-GGA level of DFT.

Structure (POSCAR):
```
HfNbAg
1.0
0.000 3.204 3.204
3.204 0.000 3.204
3.204 3.204 0.000
Hf Ag Nb
1 1 1
Cartesian
1.602 1.602 1.602
0.000 0.000 0.000
4.806 4.806 4.806
```

Results
Formation energy from the elements   0.763 eV per atom
E_tot   -20.58 eV for the cell shown
SG   F-43m, No. 216

---

# 16
Computed, not measured: a relaxed GaCu2Sn crystal at the PBE-GGA level of DFT.

Structure (POSCAR):
```
GaCu2Sn
1.0
6.442 0.000 0.000
0.000 6.442 0.000
0.000 0.000 6.442
Cu Ga Sn
8 4 4
Cartesian
4.997 4.997 1.446
4.997 4.997 4.997
1.446 4.997 1.446
1.446 1.446 4.997
1.446 1.446 1.446
4.997 1.446 1.446
1.446 4.997 4.997
4.997 1.446 4.997
0.000 0.000 3.221
0.000 0.000 0.000
0.000 3.221 0.000
3.221 0.000 0.000
3.221 3.221 3.221
0.000 3.221 3.221
3.221 0.000 3.221
3.221 3.221 0.000
```

Results
E_tot   -56.00 eV for the cell shown
SG   Pm-3m, No. 221

---

# 17
Computed, not measured: a relaxed Mg3Hg crystal at the PBE-GGA level of DFT.

Structure (POSCAR):
```
Mg3Hg
1.0
5.393 -3.114 0.000
0.000 6.227 0.000
0.000 0.000 4.982
Hg Mg
2 6
Cartesian
0.000 0.000 0.000
1.798 3.113 2.491
4.501 1.568 2.491
4.501 -1.568 2.491
1.784 0.000 2.491
2.690 1.568 0.000
2.690 4.659 0.000
0.013 3.113 0.000
```

Results
E_tot   -11.07 eV for the cell shown
SG   P6_3/mmc, No. 194

---

# 18
Computed, not measured: a relaxed Nd2YAgHg3Au2 crystal at the PBE-GGA level of DFT.

Structure (POSCAR):
```
Nd2YAgHg3Au2
1.0
3.872 0.000 0.000
0.000 6.945 4.031
0.000 -6.945 4.031
Hg Y Nd Ag Au
3 1 2 1 2
Cartesian
1.936 0.000 2.159
1.936 1.842 6.981
1.936 -1.842 6.981
0.000 0.000 4.781
0.000 -2.813 1.634
0.000 2.813 1.634
0.000 0.000 8.047
1.936 2.277 4.045
1.936 -2.277 4.045
```

Results
Formation energy from the elements   -0.585 eV per atom
E_tot   -31.51 eV for the cell shown
SG   Amm2, No. 38

---

# 19
Computed, not measured: a relaxed BeInFePt crystal at the PBE-GGA level of DFT.

Structure (POSCAR):
```
BeInFePt
1.0
0.000 3.062 3.062
3.062 0.000 3.062
3.062 3.062 0.000
In Be Fe Pt
1 1 1 1
Cartesian
0.000 0.000 0.000
1.531 1.531 1.531
4.594 4.594 4.594
3.062 3.062 3.062
```

Results
E_tot   -20.80 eV for the cell shown
SG   F-43m, No. 216

---

# 20
Computed, not measured: a relaxed PrNdNp crystal at the PBE-GGA level of DFT.

Structure (POSCAR):
```
PrNdNp
1.0
0.000 3.725 3.725
3.725 0.000 3.725
3.725 3.725 0.000
Nd Pr Np
1 1 1
Cartesian
1.862 1.862 1.862
0.000 0.000 0.000
5.587 5.587 5.587
```

Results
Formation energy from the elements   1.131 eV per atom
E_tot   -18.91 eV for the cell shown
SG   F-43m, No. 216

---

# 21
Computed, not measured: a relaxed PrNdCd6 crystal at the PBE-GGA level of DFT.

Structure (POSCAR):
```
PrNdCd6
1.0
-6.124 1.466 2.433
1.277 -6.165 -2.437
1.455 -1.504 4.567
Cd Nd Pr
6 1 1
Cartesian
0.720 -5.592 0.692
0.108 -2.637 1.860
-1.757 -5.344 -1.201
-2.216 -4.890 1.858
0.550 -3.108 -1.199
-2.364 -2.410 -0.041
0.000 0.000 0.000
-2.930 -1.830 3.093
```

Results
Formation energy from the elements   -0.324 eV per atom
E_tot   -17.50 eV for the cell shown
SG   P-6m2, No. 187

---

# 22
Computed, not measured: a relaxed NdScMo crystal at the PBE-GGA level of DFT.

Structure (POSCAR):
```
NdScMo
1.0
0.000 3.336 3.336
3.336 0.000 3.336
3.336 3.336 0.000
Nd Sc Mo
1 1 1
Cartesian
0.000 0.000 0.000
5.005 5.005 5.005
1.668 1.668 1.668
```

Results
Formation energy from the elements   1.310 eV per atom
E_tot   -18.01 eV for the cell shown
SG   F-43m, No. 216

---

# 23
Computed, not measured: a relaxed DyTm4Lu2Co2Te2 crystal at the PBE-GGA level of DFT.

Structure (POSCAR):
```
DyTm4Lu2Co2Te2
1.0
-1.896 7.686 4.683
1.896 -7.686 4.683
1.896 7.686 -4.683
Tm Co Dy Lu Te
4 2 1 2 2
Cartesian
1.896 2.282 2.145
1.896 -2.282 2.145
0.000 2.084 5.456
1.896 5.602 0.773
0.000 3.630 0.652
0.000 11.742 0.652
0.000 0.000 0.006
0.000 4.826 3.523
1.896 2.860 -1.160
0.000 7.686 2.187
0.000 0.000 3.177
```

Results
E_tot   -58.91 eV for the cell shown
SG   Imm2, No. 44

---

# 24
Computed, not measured: a relaxed AgPbSeF crystal at the PBE-GGA level of DFT.

Structure (POSCAR):
```
AgPbSeF
1.0
2.037 1.176 12.146
-2.037 1.176 12.146
0.000 -2.352 12.146
F Ag Se Pb
2 2 2 2
Cartesian
0.000 0.000 25.279
0.000 0.000 11.158
0.000 0.000 13.566
0.000 0.000 22.871
0.000 0.000 33.322
0.000 0.000 3.115
0.000 0.000 7.449
0.000 0.000 28.988
```

Results
E_tot   -29.09 eV for the cell shown
SG   R-3m, No. 166

---

# 25
Computed, not measured: a relaxed La2AgAu2 crystal at the PBE-GGA level of DFT.

Structure (POSCAR):
```
La2AgAu2
1.0
-4.590 -0.286 6.654
-3.706 -6.604 -2.841
2.755 -2.321 1.801
Ag La Au
2 4 4
Cartesian
0.000 0.000 0.000
-4.148 -3.445 1.907
-4.776 -6.819 3.022
-0.765 -2.392 2.592
-1.905 -5.649 0.137
-3.637 -3.562 5.477
-1.967 -2.488 -0.197
-3.365 -1.031 3.818
-4.932 -5.859 -0.005
-6.330 -4.402 4.010
```

Results
Formation energy from the elements   -0.687 eV per atom
E_tot   -45.27 eV for the cell shown
SG   P4/mbm, No. 127

---

# 26
Computed, not measured: a relaxed YTm2Cu4Ge4 crystal at the PBE-GGA level of DFT.

Structure (POSCAR):
```
YTm2Cu4Ge4
1.0
-2.080 3.324 6.915
2.080 -3.324 6.915
2.080 3.324 -6.915
Cu Ge Tm Y
4 4 2 1
Cartesian
2.080 1.271 2.351
0.000 2.053 9.266
2.080 1.271 -2.351
0.000 2.053 4.564
0.000 1.271 6.915
0.000 0.000 3.004
2.080 2.053 0.000
0.000 0.000 10.826
2.080 0.000 5.127
0.000 3.324 1.788
0.000 0.000 0.000
```

Results
E_tot   -55.69 eV for the cell shown
SG   Immm, No. 71